# PBE LaAlFeAg2, relaxed
data_LaAlFeAg2
_cell_length_a 4.7997
_cell_length_b 5.7928
_cell_length_c 4.7997
_cell_angle_alpha 90.00
_cell_angle_beta 90.00
_cell_angle_gamma 90.00
_space_group_name_H-M_alt 'P 1'
_space_group_IT_number 1
loop_
_space_group_symop_operation_xyz
'x,y,z'
loop_
_atom_site_label
_atom_site_type_symbol
_atom_site_fract_x
_atom_site_fract_y
_atom_site_fract_z
Ag1 Ag 0.5000 0.0000 0.0000
Ag2 Ag 0.0000 0.0000 0.5000
La1 La 0.0000 0.5000 0.0000
Al1 Al 0.0000 0.0000 0.0000
Fe1 Fe 0.5000 0.5000 0.5000
# Raw total energy: -3.833 eV per atom
# Size of the total moment: 2.71 μB per formula unit
# SG: P4/mmm (123)
# V: 26.69 Å³/atom
# ΔE_f: 0.734 eV per atom

=====

# PBE CeGd2Er, relaxed
data_CeGd2Er
_cell_length_a 5.6671
_cell_length_b 5.6671
_cell_length_c 5.6671
_cell_angle_alpha 60.00
_cell_angle_beta 60.00
_cell_angle_gamma 60.00
_space_group_name_H-M_alt 'P 1'
_space_group_IT_number 1
loop_
_space_group_symop_operation_xyz
'x,y,z'
loop_
_atom_site_label
_atom_site_type_symbol
_atom_site_fract_x
_atom_site_fract_y
_atom_site_fract_z
Er1 Er 0.0000 0.0000 0.0000
Gd1 Gd 0.7500 0.7500 0.7500
Gd2 Gd 0.2500 0.2500 0.2500
Ce1 Ce 0.5000 0.5000 0.5000
# Raw total energy: -9.517 eV per atom
# Size of the total moment: 17.39 μB per formula unit
# SG: Fm-3m (225)
# V: 32.17 Å³/atom
# ΔE_f: 0.148 eV per atom

=====

# PBE BC2, relaxed
data_BC2
_cell_length_a 4.5739
_cell_length_b 4.5739
_cell_length_c 4.5739
_cell_angle_alpha 148.87
_cell_angle_beta 128.87
_cell_angle_gamma 61.08
_space_group_name_H-M_alt 'P 1'
_space_group_IT_number 1
loop_
_space_group_symop_operation_xyz
'x,y,z'
loop_
_atom_site_label
_atom_site_type_symbol
_atom_site_fract_x
_atom_site_fract_y
_atom_site_fract_z
C1 C 0.0002 0.0000 0.0002
C2 C 0.3836 0.1599 0.2237
C3 C 0.0638 0.8401 0.2237
C4 C 0.7681 0.5000 0.2681
B1 B 0.3532 0.3360 0.0171
B2 B 0.6811 0.6640 0.0171
# Raw total energy: -8.015 eV per atom
# Size of the total moment: 0.00 μB per formula unit
# SG: Imm2 (44)
# V: 6.36 Å³/atom
# ΔE_f: 0.360 eV per atom

=====

# PBE CrInSi, relaxed
data_CrInSi
_cell_length_a 5.3022
_cell_length_b 5.3022
_cell_length_c 5.3022
_cell_angle_alpha 145.14
_cell_angle_beta 145.14
_cell_angle_gamma 50.12
_space_group_name_H-M_alt 'P 1'
_space_group_IT_number 1
loop_
_space_group_symop_operation_xyz
'x,y,z'
loop_
_atom_site_label
_atom_site_type_symbol
_atom_site_fract_x
_atom_site_fract_y
_atom_site_fract_z
Si1 Si 0.6265 0.6265 0.0000
In1 In 0.3372 0.3372 0.0000
Cr1 Cr 0.0363 0.0363 0.0000
# Raw total energy: -5.754 eV per atom
# Size of the total moment: 0.98 μB per formula unit
# SG: I4mm (107)
# V: 16.15 Å³/atom
# Formation energy (no corrections): 0.175 eV/atom

=====

# PBE TbPm4Sm2Er2, relaxed
data_TbPm4Sm2Er2
_cell_length_a 5.1003
_cell_length_b 8.0688
_cell_length_c 8.0384
_cell_angle_alpha 107.55
_cell_angle_beta 90.00
_cell_angle_gamma 108.42
_space_group_name_H-M_alt 'P 1'
_space_group_IT_number 1
loop_
_space_group_symop_operation_xyz
'x,y,z'
loop_
_atom_site_label
_atom_site_type_symbol
_atom_site_fract_x
_atom_site_fract_y
_atom_site_fract_z
Pm1 Pm 0.2220 0.4440 0.3309
Pm2 Pm 0.4451 0.8902 0.6694
Pm3 Pm 0.5549 0.1098 0.3306
Pm4 Pm 0.7780 0.5560 0.6691
Tb1 Tb 0.0000 0.0000 0.0000
Sm1 Sm 0.1115 0.2230 0.6689
Sm2 Sm 0.8885 0.7770 0.3311
Er1 Er 0.6672 0.3344 0.0000
Er2 Er 0.3328 0.6656 0.0000
# Raw total energy: -4.670 eV per atom
# Size of the total moment: 0.00 μB per formula unit
# SG: C2/m (12)
# V: 33.06 Å³/atom
# ΔE_f: 0.019 eV per atom

=====

# PBE LiMnGa2, relaxed
data_LiMnGa2
_cell_length_a 2.7880
_cell_length_b 4.4354
_cell_length_c 4.4354
_cell_angle_alpha 90.00
_cell_angle_beta 90.00
_cell_angle_gamma 90.00
_space_group_name_H-M_alt 'P 1'
_space_group_IT_number 1
loop_
_space_group_symop_operation_xyz
'x,y,z'
loop_
_atom_site_label
_atom_site_type_symbol
_atom_site_fract_x
_atom_site_fract_y
_atom_site_fract_z
Ga1 Ga 0.0000 0.5000 0.0000
Ga2 Ga 0.0000 0.0000 0.5000
Mn1 Mn 0.5000 0.5000 0.5000
Li1 Li 0.5000 0.0000 0.0000
# Raw total energy: -4.469 eV per atom
# Size of the total moment: 2.35 μB per formula unit
# SG: P4/mmm (123)
# V: 13.71 Å³/atom
# ΔE_f: -0.185 eV per atom

=====

# PBE TaVMoPd2, relaxed
data_TaVMoPd2
_cell_length_a 4.8096
_cell_length_b 4.8096
_cell_length_c 4.5488
_cell_angle_alpha 90.00
_cell_angle_beta 90.00
_cell_angle_gamma 90.00
_space_group_name_H-M_alt 'P 1'
_space_group_IT_number 1
loop_
_space_group_symop_operation_xyz
'x,y,z'
loop_
_atom_site_label
_atom_site_type_symbol
_atom_site_fract_x
_atom_site_fract_y
_atom_site_fract_z
Ta1 Ta 0.0000 0.0000 0.0000
Pd1 Pd 0.5000 0.0000 0.0000
Pd2 Pd 0.0000 0.5000 0.0000
Mo1 Mo 0.5000 0.5000 0.5000
V1 V 0.0000 0.0000 0.5000
# Raw total energy: -6.982 eV per atom
# Size of the total moment: 2.23 μB per formula unit
# SG: P4/mmm (123)
# V: 21.04 Å³/atom
# ΔE_f: 1.455 eV per atom

=====

# PBE KPa2Cl2O5, relaxed
data_KPa2Cl2O5
_cell_length_a 3.3498
_cell_length_b 10.1623
_cell_length_c 10.1623
_cell_angle_alpha 90.00
_cell_angle_beta 90.00
_cell_angle_gamma 90.00
_space_group_name_H-M_alt 'P 1'
_space_group_IT_number 1
loop_
_space_group_symop_operation_xyz
'x,y,z'
loop_
_atom_site_label
_atom_site_type_symbol
_atom_site_fract_x
_atom_site_fract_y
_atom_site_fract_z
O1 O 0.5000 0.7391 0.4176
O2 O 0.5000 0.9176 0.2391
O3 O 0.5000 0.7609 0.9176
O4 O 0.5000 0.5000 0.0000
O5 O 0.5000 0.5824 0.7391
O6 O 0.5000 0.0000 0.5000
O7 O 0.5000 0.4176 0.2609
O8 O 0.5000 0.0824 0.7609
O9 O 0.5000 0.2391 0.0824
O10 O 0.5000 0.2609 0.5824
Cl1 Cl 0.0000 0.1594 0.3406
Cl2 Cl 0.0000 0.8406 0.6594
Cl3 Cl 0.0000 0.3406 0.8406
Cl4 Cl 0.0000 0.6594 0.1594
Pa1 Pa 0.0000 0.1389 0.6389
Pa2 Pa 0.0000 0.8611 0.3611
Pa3 Pa 0.0000 0.3611 0.1389
Pa4 Pa 0.0000 0.6389 0.8611
K1 K 0.0000 0.0000 0.0000
K2 K 0.0000 0.5000 0.5000
# Raw total energy: -7.416 eV per atom
# Size of the total moment: 1.01 μB per formula unit
# SG: P4/mbm (127)
# V: 17.30 Å³/atom
# Formation energy (no corrections): -2.559 eV/atom